# 1
Density functional theory data (GGA-PBE) for an optimized crystal structure of GdHoNp.

Structure (POSCAR):
```
GdHoNp
1.0
0.0000 3.6731 3.6731
3.6731 0.0000 3.6731
3.6731 3.6731 0.0000
Gd Ho Np
1 1 1
Direct
0.0000 0.0000 0.0000
0.2500 0.2500 0.2500
0.5000 0.5000 0.5000
```

Values from the calculation:
- space group = No. 216
- uncorrected energy (eV/cell) = -18.462


# 2
Density functional theory data (GGA-PBE) for an optimized crystal structure of RbSmAs.

Structure (POSCAR):
```
RbSmAs
1.0
0.0000 3.7030 3.7030
3.7030 0.0000 3.7030
3.7030 3.7030 0.0000
Rb Sm As
1 1 1
Direct
0.0000 0.0000 0.0000
0.5000 0.5000 0.5000
0.2500 0.2500 0.2500
```

Values from the calculation:
- space group = No. 216
- uncorrected energy (eV/cell) = -11.145


# 3
Density functional theory data (GGA-PBE) for an optimized crystal structure of FeH20PbC14INCl2.

Structure (POSCAR):
```
FeH20PbC14INCl2
1.0
12.0382 -4.9012 0.0000
12.0382 4.9012 0.0000
-0.2498 0.0000 7.7860
Fe H Pb C I N Cl
2 40 2 28 2 2 4
Direct
0.2431 0.2431 0.2383
0.7569 0.7569 0.7617
0.0086 0.2903 0.9224
0.0178 0.1503 0.8557
0.0368 0.4743 0.7267
0.0530 0.2109 0.2795
0.0606 0.2176 0.7067
0.0811 0.5261 0.3627
0.1951 0.2655 0.8774
0.2641 0.0987 0.5183
0.2764 0.3884 0.0287
0.2802 0.2949 0.5737
0.3480 0.0031 0.0267
0.4224 0.3264 0.3424
0.4739 0.9189 0.6373
0.5132 0.3762 0.1311
0.5216 0.0642 0.8140
0.5257 0.9632 0.2733
0.5385 0.1446 0.4256
0.5470 0.2438 0.9888
0.6072 0.3100 0.4201
0.6116 0.7236 0.9713
0.6238 0.4868 0.8689
0.6736 0.5776 0.6576
0.6900 0.3928 0.5799
0.6944 0.2251 0.0439
0.7051 0.7198 0.4263
0.7097 0.9914 0.0776
0.7260 0.1235 0.4906
0.7345 0.8049 0.1226
0.7562 0.4530 0.0112
0.7749 0.3056 0.9561
0.7824 0.9394 0.2933
0.7891 0.9470 0.7205
0.7918 0.1644 0.3358
0.8356 0.2082 0.6642
0.8497 0.9822 0.1443
0.8554 0.4615 0.5744
0.8765 0.2740 0.5094
0.9013 0.7359 0.4817
0.9358 0.4784 0.1860
0.9969 0.6520 0.9733
0.2120 0.7880 0.5000
0.2249 0.7751 0.0000
0.0204 0.4066 0.2832
0.0815 0.2663 0.3326
0.0960 0.4331 0.3779
0.1948 0.2058 0.4590
0.2033 0.3093 0.4875
0.2780 0.2157 0.9780
0.3211 0.2810 0.0568
0.3593 0.0768 0.0566
0.4321 0.1807 0.1856
0.4544 0.0546 0.1848
0.5001 0.2088 0.3079
0.5669 0.9040 0.6221
0.5934 0.9796 0.7168
0.5942 0.2603 0.0900
0.6907 0.7967 0.5125
0.6946 0.1936 0.3821
0.7190 0.6789 0.9432
0.7337 0.9185 0.6674
0.7397 0.4058 0.9100
0.7530 0.0083 0.1847
0.7843 0.7220 0.0220
0.7912 0.4999 0.6921
0.7942 0.8052 0.5410
0.8064 0.3054 0.6179
0.8193 0.5679 0.8144
0.9232 0.6407 0.9434
0.9454 0.5456 0.8152
0.9917 0.2470 0.8153
0.3633 0.5052 0.7195
0.4948 0.6367 0.2805
0.6363 0.1666 0.2397
0.8334 0.3637 0.7603
0.0462 0.0237 0.2270
0.1542 0.6665 0.2415
0.3335 0.8458 0.7585
0.9763 0.9538 0.7730
```

Values from the calculation:
- space group = No. 5
- uncorrected energy (eV/cell) = -457.036


# 4
Density functional theory data (GGA-PBE) for an optimized crystal structure of Be2Fe3Re2.

Structure (POSCAR):
```
Be2Fe3Re2
1.0
1.9429 1.1217 6.2652
-1.9429 1.1217 6.2652
0.0000 -2.2435 6.2652
Be Fe Re
2 3 2
Direct
0.0000 0.0000 0.0000
0.4884 0.4884 0.4884
0.1225 0.1225 0.1225
0.6194 0.6194 0.6194
0.8709 0.8709 0.8709
0.2528 0.2528 0.2528
0.7411 0.7411 0.7411
```

Values from the calculation:
- space group = No. 160
- uncorrected energy (eV/cell) = -56.713


# 5
Density functional theory data (GGA-PBE) for an optimized crystal structure of AcSiIr.

Structure (POSCAR):
```
AcSiIr
1.0
6.3681 0.0000 0.0000
0.0000 6.4657 0.0000
-3.8124 0.0000 6.8194
Ac Si Ir
4 4 4
Direct
0.2004 0.1403 0.3927
0.2004 0.3597 0.8927
0.7996 0.6403 0.1073
0.7996 0.8597 0.6073
0.2866 0.6386 0.5745
0.2866 0.8614 0.0745
0.7134 0.1386 0.9255
0.7134 0.3614 0.4255
0.3713 0.5978 0.3079
0.3713 0.9022 0.8079
0.6287 0.0978 0.1921
0.6287 0.4022 0.6921
```

Values from the calculation:
- space group = No. 14
- uncorrected energy (eV/cell) = -84.254


# 6
Density functional theory data (GGA-PBE) for an optimized crystal structure of SrTcPd.

Structure (POSCAR):
```
SrTcPd
1.0
0.0000 3.3712 3.3712
3.3712 0.0000 3.3712
3.3712 3.3712 0.0000
Sr Tc Pd
1 1 1
Direct
0.0000 0.0000 0.0000
0.5000 0.5000 0.5000
0.2500 0.2500 0.2500
```

Values from the calculation:
- space group = No. 216
- uncorrected energy (eV/cell) = -15.056


# 7
Density functional theory data (GGA-PBE) for an optimized crystal structure of ZnTe2.

Structure (POSCAR):
```
ZnTe2
1.0
0.0000 3.4696 3.4696
3.4696 0.0000 3.4696
3.4696 3.4696 0.0000
Zn Te
1 2
Direct
0.0000 0.0000 0.0000
0.2500 0.2500 0.2500
0.7500 0.7500 0.7500
```

Values from the calculation:
- space group = No. 225
- uncorrected energy (eV/cell) = -6.978


# 8
Density functional theory data (GGA-PBE) for an optimized crystal structure of ZrInFeAg.

Structure (POSCAR):
```
ZrInFeAg
1.0
0.0000 3.3194 3.3194
3.3194 0.0000 3.3194
3.3194 3.3194 0.0000
Zr In Fe Ag
1 1 1 1
Direct
0.0000 0.0000 0.0000
0.2500 0.2500 0.2500
0.5000 0.5000 0.5000
0.7500 0.7500 0.7500
```

Values from the calculation:
- space group = No. 216
- uncorrected energy (eV/cell) = -21.909


Look up the uncorrected energy of the eighth one. -21.909 eV/cell


What is the uncorrected energy in the fifth record? -84.254 eV/cell